Here is a relaxed CdMoIN2 crystal from Alexandria via LeMat-Bulk. Energies are from PBE.

Unit cell a=4.0321 b=4.0321 c=5.8581 alpha=90.00 beta=90.00 gamma=90.00
Space group P4/mmm (No. 123)
Asymmetric unit:
1 Cd 0.0000 0.0000 0.0000 (multiplicity 1)
2 Mo 0.5000 0.5000 0.5000 (multiplicity 1)
3 I 0.5000 0.5000 0.0000 (multiplicity 1)
4 N 0.0000 0.5000 0.5000 (multiplicity 2)

Values from the calculation:
The total magnetization is 0.00 μB per formula unit. The offset from the most stable computed form is 0.0 kJ per mole of atoms. The crystal system is tetragonal. For the uncorrected formation energy, the calculation gives 610.5 meV/atom. For the density, the calculation gives 6.3 g/cm3. The calculation puts the volume at 19.0 A^3/atom. Its electronic total energy is -5.3789 eV/atom.

---

Here is a relaxed CdMoI2N crystal from Alexandria via LeMat-Bulk. Energies are from PBE.

Unit cell a=6.0440 b=6.0440 c=4.2193 alpha=90.00 beta=90.00 gamma=90.00
Space group P4/mmm (No. 123)
Asymmetric unit:
1 Cd 0.0000 0.0000 0.0000 (multiplicity 1)
2 Mo 0.5000 0.5000 0.5000 (multiplicity 1)
3 I 0.0000 0.5000 0.0000 (multiplicity 2)
4 N 0.0000 0.0000 0.5000 (multiplicity 1)

Values from the calculation:
The total magnetization is 3.00 μB per formula unit. The offset from the most stable computed form is 106.9 kJ per mole of atoms. The crystal system is tetragonal. For the uncorrected formation energy, the calculation gives 1342.0 meV/atom. For the density, the calculation gives 5.1 g/cm3. The calculation puts the volume at 30.8 A^3/atom. Its electronic total energy is -3.2924 eV/atom.

---

Here is a relaxed Na2CdMoI crystal from Alexandria via LeMat-Bulk. Energies are from PBE.

Unit cell a=5.8248 b=5.8248 c=5.4343 alpha=90.00 beta=90.00 gamma=90.00
Space group P4/mmm (No. 123)
Asymmetric unit:
1 Na 0.0000 0.5000 0.0000 (multiplicity 2)
2 Cd 0.0000 0.0000 0.5000 (multiplicity 1)
3 Mo 0.5000 0.5000 0.5000 (multiplicity 1)
4 I 0.5000 0.5000 0.0000 (multiplicity 1)

Values from the calculation:
The total magnetization is 3.57 μB per formula unit. The crystal system is tetragonal. For the uncorrected formation energy, the calculation gives 753.3 meV/atom. For the density, the calculation gives 3.4 g/cm3. The calculation puts the volume at 36.9 A^3/atom. Its electronic total energy is -2.4336 eV/atom.

---

> What is the formula in the third record?

Na2CdMoI

---

> What is the electronic total energy in the third record?

-2.4336 eV/atom